Entry 1:
DFT (meta-GGA SCAN) results for a PBEsol-optimized structure of VCuSe2O7.

Cell and atoms, written as POSCAR:
```
VCuSe2O7
1.0
8.015 0.000 0.000
0.000 8.812 0.000
-1.724 0.000 8.181
V Cu Se O
4 4 8 28
direct
0.196 0.006 0.446
0.196 0.494 0.946
0.804 0.506 0.054
0.804 0.994 0.554
0.130 0.628 0.486
0.130 0.872 0.986
0.870 0.128 0.014
0.870 0.372 0.514
0.181 0.172 0.791
0.181 0.328 0.291
0.383 0.730 0.256
0.383 0.770 0.756
0.617 0.230 0.244
0.617 0.270 0.744
0.819 0.672 0.709
0.819 0.828 0.209
0.062 0.094 0.608
0.062 0.406 0.108
0.085 0.093 0.937
0.085 0.407 0.437
0.086 0.150 0.280
0.086 0.350 0.780
0.230 0.675 0.080
0.230 0.825 0.580
0.267 0.605 0.775
0.267 0.895 0.275
0.340 0.605 0.395
0.340 0.895 0.895
0.361 0.109 0.522
0.361 0.391 0.022
0.639 0.609 0.978
0.639 0.891 0.478
0.660 0.105 0.105
0.660 0.395 0.605
0.733 0.105 0.725
0.733 0.395 0.225
0.770 0.175 0.420
0.770 0.325 0.920
0.914 0.650 0.220
0.914 0.850 0.720
0.915 0.593 0.563
0.915 0.907 0.063
0.938 0.594 0.892
0.938 0.906 0.392
```

**Space group**: P2_1/c, No. 14
**E**: -130.92 eV per formula unit
**E_form (uncorrected)**: -1.31 eV/atom
**Spin magnetization**: 0.149 μB per atom

Entry 2:
DFT (meta-GGA SCAN) results for a PBEsol-optimized structure of KLi2Rh.

Cell and atoms, written as POSCAR:
```
KLi2Rh
1.0
8.873 0.000 0.000
0.000 2.729 0.000
-0.363 0.000 7.452
K Li Rh
2 4 2
direct
0.000 0.000 0.000
0.500 0.500 0.000
0.013 0.500 0.596
0.264 0.500 0.418
0.513 0.000 0.596
0.764 0.000 0.418
0.250 0.000 0.703
0.750 0.500 0.703
```

**Space group**: Cm, No. 8
**E**: -46.12 eV per formula unit
**Spin magnetization**: 0.119 μB per atom
**ΔH_f (0 K)**: 0.1908 eV/atom

Entry 3:
DFT (meta-GGA SCAN) results for a PBEsol-optimized structure of HgIr2Os.

Cell and atoms, written as POSCAR:
```
HgIr2Os
1.0
2.775 0.000 0.000
-1.387 2.403 0.000
0.000 0.000 27.481
Hg Ir Os
3 6 3
direct
0.000 0.000 0.000
0.333 0.667 0.667
0.667 0.333 0.333
0.000 0.000 0.245
0.000 0.000 0.499
0.333 0.667 0.165
0.333 0.667 0.912
0.667 0.333 0.578
0.667 0.333 0.832
0.000 0.000 0.756
0.333 0.667 0.423
0.667 0.333 0.090
```

**Space group**: R3m, No. 160
**E**: -280.53 eV per formula unit
**Spin magnetization**: 0.000 μB per atom
**ΔH_f (0 K)**: 0.4293 eV/atom

Entry 4:
DFT (meta-GGA SCAN) results for a PBEsol-optimized structure of KOsIO2.

Cell and atoms, written as POSCAR:
```
KOsIO2
1.0
4.005 0.000 0.000
0.000 4.005 0.000
0.000 0.000 5.740
K Os I O
1 1 1 2
direct
0.000 0.000 0.000
0.500 0.500 0.500
0.500 0.500 0.000
0.000 0.500 0.500
0.500 0.000 0.500
```

**Space group**: P4/mmm, No. 123
**E**: -131.79 eV per formula unit
**E_form (uncorrected)**: -0.48 eV/atom
**Spin magnetization**: 0.000 μB per atom

Entry 5:
DFT (meta-GGA SCAN) results for a PBEsol-optimized structure of CaNiW2.

Cell and atoms, written as POSCAR:
```
CaNiW2
1.0
2.796 0.000 0.000
-1.398 2.422 0.000
0.000 0.000 28.745
Ca Ni W
3 3 6
direct
0.000 0.000 0.000
0.333 0.667 0.667
0.667 0.333 0.333
0.000 0.000 0.500
0.333 0.667 0.167
0.667 0.333 0.833
0.000 0.000 0.239
0.000 0.000 0.761
0.333 0.667 0.428
0.333 0.667 0.905
0.667 0.333 0.095
0.667 0.333 0.572
```

**Space group**: R-3m, No. 166
**E**: -161.77 eV per formula unit
**Spin magnetization**: 0.000 μB per atom
**ΔH_f (0 K)**: 0.8617 eV/atom

Entry 6:
DFT (meta-GGA SCAN) results for a PBEsol-optimized structure of BaZr2Sb.

Cell and atoms, written as POSCAR:
```
BaZr2Sb
1.0
3.719 0.000 0.000
-1.859 3.220 0.000
0.000 0.000 28.428
Ba Zr Sb
3 6 3
direct
0.000 0.000 0.000
0.333 0.667 0.667
0.667 0.333 0.333
0.000 0.000 0.232
0.000 0.000 0.768
0.333 0.667 0.435
0.333 0.667 0.899
0.667 0.333 0.101
0.667 0.333 0.565
0.000 0.000 0.500
0.333 0.667 0.167
0.667 0.333 0.833
```

**Space group**: R-3m, No. 166
**E**: -137.60 eV per formula unit
**E_form (uncorrected)**: 0.15 eV/atom
**Spin magnetization**: 0.000 μB per atom

Entry 7:
DFT (meta-GGA SCAN) results for a PBEsol-optimized structure of LaSb2Au.

Cell and atoms, written as POSCAR:
```
LaSb2Au
1.0
4.485 0.000 0.000
0.000 4.485 0.000
0.000 0.000 9.814
La Sb Au
2 4 2
direct
0.000 0.000 0.000
0.500 0.500 0.500
0.000 0.000 0.500
0.000 0.500 0.250
0.500 0.000 0.750
0.500 0.500 0.000
0.000 0.500 0.750
0.500 0.000 0.250
```

**Space group**: I-4m2, No. 119
**E**: -189.35 eV per formula unit
**E_form (uncorrected)**: -0.64 eV/atom
**Spin magnetization**: 0.000 μB per atom

Entry 8:
DFT (meta-GGA SCAN) results for a PBEsol-optimized structure of Co3TeF.

Cell and atoms, written as POSCAR:
```
Co3TeF
1.0
4.058 0.000 0.000
0.000 4.058 0.000
0.000 0.000 4.058
Co Te F
3 1 1
direct
0.000 0.000 0.500
0.000 0.500 0.000
0.500 0.000 0.000
0.500 0.500 0.500
0.000 0.000 0.000
```

**Space group**: Pm-3m, No. 221
**E**: -92.36 eV per formula unit
**E_form (uncorrected)**: 0.07 eV/atom
**Spin magnetization**: 1.163 μB per atom